The following is a PBE calculation of a relaxed structure of CsRbPt4, from Alexandria via LeMat-Bulk. Values from VASP.

The structure in Quantum ESPRESSO input format:
```
&SYSTEM
  ibrav = 0, nat = 6, ntyp = 3
/
ATOMIC_SPECIES
Cs 132.91 Cs.upf
Rb 85.47 Rb.upf
Pt 195.08 Pt.upf
CELL_PARAMETERS angstrom
0.0000 4.0285 4.0285
4.0285 0.0000 4.0285
4.0285 4.0285 0.0000
ATOMIC_POSITIONS crystal
Cs 0.0000 0.0000 0.0000
Rb 0.2500 0.2500 0.2500
Pt 0.1255 0.6248 0.6248
Pt 0.6248 0.1255 0.6248
Pt 0.6248 0.6248 0.1255
Pt 0.6248 0.6248 0.6248
```

Summary:
Crystal system   cubic
ΔE_f   0.042 eV/atom

=====

The following is a PBE calculation of a relaxed structure of Na2In2Co, from Alexandria via LeMat-Bulk. Values from VASP.

The structure in Quantum ESPRESSO input format:
```
&SYSTEM
  ibrav = 0, nat = 10, ntyp = 3
/
ATOMIC_SPECIES
Na 22.99 Na.upf
In 114.82 In.upf
Co 58.93 Co.upf
CELL_PARAMETERS angstrom
6.8309 0.0000 0.0000
0.0000 6.8309 0.0000
0.0000 0.0000 5.4104
ATOMIC_POSITIONS crystal
Na 0.1727 0.3273 0.0000
Na 0.3273 0.8273 0.0000
Na 0.6727 0.1727 0.0000
Na 0.8273 0.6727 0.0000
In 0.1682 0.6682 0.5000
In 0.3318 0.1682 0.5000
In 0.6682 0.8318 0.5000
In 0.8318 0.3318 0.5000
Co 0.0000 0.0000 0.5000
Co 0.5000 0.5000 0.5000
```

Summary:
Crystal system   tetragonal
ΔE_f   0.200 eV/atom

=====

The following is a PBE calculation of a relaxed structure of Sm2Rh3Pb2, from Alexandria via LeMat-Bulk. Values from VASP.

The structure in Quantum ESPRESSO input format:
```
&SYSTEM
  ibrav = 0, nat = 14, ntyp = 3
/
ATOMIC_SPECIES
Sm 150.36 Sm.upf
Rh 102.91 Rh.upf
Pb 207.20 Pb.upf
CELL_PARAMETERS angstrom
-4.3311 4.3311 4.3311
4.3311 -4.3311 4.3311
4.3311 4.3311 -4.3311
ATOMIC_POSITIONS crystal
Sm 0.0000 0.0316 0.5000
Sm 0.0316 0.5000 0.0000
Sm 0.4684 0.4684 0.4684
Sm 0.5000 0.0000 0.0316
Rh 0.0106 0.2500 0.2606
Rh 0.2394 0.4894 0.7500
Rh 0.2500 0.2606 0.0106
Rh 0.2606 0.0106 0.2500
Rh 0.4894 0.7500 0.2394
Rh 0.7500 0.2394 0.4894
Pb 0.0000 0.6120 0.5000
Pb 0.5000 0.0000 0.6120
Pb 0.6120 0.5000 0.0000
Pb 0.8880 0.8880 0.8880
```

Summary:
Crystal system   cubic
ΔE_f   -0.491 eV/atom

=====

The following is a PBE calculation of a relaxed structure of BaAcGa, from Alexandria via LeMat-Bulk. Values from VASP.

The structure in Quantum ESPRESSO input format:
```
&SYSTEM
  ibrav = 0, nat = 12, ntyp = 3
/
ATOMIC_SPECIES
Ba 137.33 Ba.upf
Ac 227.00 Ac.upf
Ga 69.72 Ga.upf
CELL_PARAMETERS angstrom
7.8847 0.0000 0.0000
0.0000 7.8847 0.0000
0.0000 0.0000 7.8847
ATOMIC_POSITIONS crystal
Ba 0.0000 0.0000 0.0000
Ba 0.0000 0.5000 0.5000
Ba 0.5000 0.0000 0.5000
Ba 0.5000 0.5000 0.0000
Ac 0.0000 0.0000 0.5000
Ac 0.0000 0.5000 0.0000
Ac 0.5000 0.0000 0.0000
Ac 0.5000 0.5000 0.5000
Ga 0.2500 0.2500 0.2500
Ga 0.2500 0.7500 0.7500
Ga 0.7500 0.2500 0.7500
Ga 0.7500 0.7500 0.2500
```

Summary:
Crystal system   cubic
ΔE to the lowest computed polymorph   0.1669 eV per atom
ΔE_f   -0.132 eV/atom

=====

The following is a PBE calculation of a relaxed structure of TlZnCo2, from Alexandria via LeMat-Bulk. Values from VASP.

The structure in Quantum ESPRESSO input format:
```
&SYSTEM
  ibrav = 0, nat = 4, ntyp = 3
/
ATOMIC_SPECIES
Tl 204.38 Tl.upf
Zn 65.41 Zn.upf
Co 58.93 Co.upf
CELL_PARAMETERS angstrom
3.1108 0.0000 0.0000
0.0000 3.1217 0.0000
0.0000 0.0000 5.9249
ATOMIC_POSITIONS crystal
Tl 0.0000 0.0000 0.0000
Zn 0.0000 0.0000 0.5000
Co 0.5000 0.5000 0.2861
Co 0.5000 0.5000 0.7139
```

Summary:
Crystal system   orthorhombic
ΔE to the lowest computed polymorph   0.0665 eV per atom
ΔE_f   0.364 eV/atom

=====

The following is a PBE calculation of a relaxed structure of PmDyPa2Sb4, from Alexandria via LeMat-Bulk. Values from VASP.

The structure in Quantum ESPRESSO input format:
```
&SYSTEM
  ibrav = 0, nat = 8, ntyp = 4
/
ATOMIC_SPECIES
Pm 145.00 Pm.upf
Dy 162.50 Dy.upf
Pa 231.04 Pa.upf
Sb 121.76 Sb.upf
CELL_PARAMETERS angstrom
7.6072 0.0000 0.0000
0.0000 4.3934 0.0000
-2.5385 0.0000 7.2331
ATOMIC_POSITIONS crystal
Pm 0.0000 0.0000 0.0000
Dy 0.5000 0.5000 0.0000
Pa 0.0000 0.5000 0.5000
Pa 0.5000 0.0000 0.5000
Sb 0.2529 0.0000 0.7487
Sb 0.2546 0.5000 0.2538
Sb 0.7454 0.5000 0.7462
Sb 0.7471 0.0000 0.2513
```

Summary:
Crystal system   monoclinic
Formation energy from raw total energies   -6.27 eV per formula unit

=====

no.,total DFT energy (no corrections) (eV per atom),N(E_F) (states/eV per cell)
1,-4.289,3.91
2,-2.844,9.44
3,-6.050,8.64
4,-3.152,11.61
5,-4.099,6.59
6,-6.389,12.30